## Pm2TlZnO6 (GGA-PBE)

Data for Pm2TlZnO6 after structural relaxation.

Output
The calculation puts the total energy at -6.1923 eV per atom. The calculation puts the volume at 151 Å³ per cell.

Cell lengths 5.3863, 5.2995, 5.2995 Å; angles 90.00, 90.00, 90.00 degrees
Closest atoms and distances in Å follow each position.
Atoms (fractional coordinates):
Pm 0.0039 0.5000 0.0000  4 O 2.34
Pm 0.0039 0.0000 0.5000  4 O 2.34
Tl 0.5440 0.5000 0.5000  5 O 2.12-2.21
Zn 0.5679 0.0000 0.0000  5 O 1.97-2.05
O 0.7436 0.2426 0.2426  1 Zn 2.05, 1 Tl 2.21
O 0.7436 0.2426 0.7574  1 Zn 2.05, 1 Tl 2.21
O 0.1506 0.5000 0.5000  1 Tl 2.12
O 0.2022 0.0000 0.0000  1 Zn 1.97
O 0.7436 0.7574 0.7574  1 Zn 2.05, 1 Tl 2.21
O 0.7436 0.7574 0.2426  1 Zn 2.05, 1 Tl 2.21

---

## PmTm3O (GGA-PBE)

Data for PmTm3O after structural relaxation.

Output
The calculation puts the total energy at -5.6920 eV per atom. The calculation puts the volume at 118 Å³ per cell.

Cell lengths 4.9009, 4.9009, 4.9009 Å; angles 90.00, 90.00, 90.00 degrees
Closest atoms and distances in Å follow each position.
Atoms (fractional coordinates):
Tm 0.0000 0.5000 0.0000  2 O 2.45
Tm 0.0000 0.0000 0.5000  2 O 2.45
Tm 0.5000 0.0000 0.0000  2 O 2.45
O 0.0000 0.0000 0.0000  6 Tm 2.45
Pm 0.5000 0.5000 0.5000  12 Tm 3.47